[1]
This record from Alexandria describes MnCuSn3 after structural relaxation. The functional is GGA-PBE.

Calculated values
- Calculated total energy: -23.35 eV per cell
- Total moment: 0.0 μB/cell
- Symmetry: Pm-3m
- Distance to the lowest polymorph of the same formula: 0.0 meV/atom

abc: 4.9531 4.9531 4.9531
angles: 90.00 90.00 90.00
Closest atoms and distances in Å follow each position.
Fractional positions:
Mn: 0.0000 0.0000 0.0000  6 Sn 2.48
Sn: 0.0000 0.5000 0.0000  2 Mn 2.48
Sn: 0.0000 0.0000 0.5000  2 Mn 2.48
Sn: 0.5000 0.0000 0.0000  2 Mn 2.48
Cu: 0.5000 0.5000 0.5000  12 Sn 3.50

---

[2]
This record from Alexandria describes MnCu3Sn after structural relaxation. The functional is GGA-PBE.

Calculated values
- Calculated total energy: -21.24 eV per cell
- Total moment: 4.1 μB/cell
- Symmetry: Pm-3m
- Distance to the lowest polymorph of the same formula: 0.0 meV/atom

abc: 4.5914 4.5914 4.5914
angles: 90.00 90.00 90.00
Closest atoms and distances in Å follow each position.
Fractional positions:
Mn: 0.0000 0.0000 0.0000  6 Cu 2.30
Sn: 0.5000 0.5000 0.5000  12 Cu 3.25
Cu: 0.0000 0.5000 0.0000  2 Mn 2.30
Cu: 0.0000 0.0000 0.5000  2 Mn 2.30
Cu: 0.5000 0.0000 0.0000  2 Mn 2.30

---

[3]
This record from Alexandria describes Sr2MnCuSn after structural relaxation. The functional is GGA-PBE.

Calculated values
- Calculated total energy: -18.09 eV per cell
- Total moment: 4.0 μB/cell
- Symmetry: P4/mmm

abc: 6.7336 5.3157 6.7336
angles: 90.00 90.00 90.00
Closest atoms and distances in Å follow each position.
Fractional positions:
Sr: 0.0000 0.0000 0.5000  2 Sn 3.37
Sr: 0.5000 0.0000 0.0000  2 Sn 3.37
Mn: 0.0000 0.5000 0.0000  2 Sn 2.66
Sn: 0.0000 0.0000 0.0000  2 Mn 2.66
Cu: 0.5000 0.5000 0.5000  8 Sr 4.29, 4 Mn 4.76

---

[4]
This record from Alexandria describes MnCu2SnTe4 after structural relaxation. The functional is GGA-PBE.

Calculated values
- Calculated total energy: -35.05 eV per cell
- Total moment: 4.6 μB/cell
- Symmetry: I-42m
- Formation energy (no corrections): -1.12 eV/f.u.

abc: 7.5834 7.5834 7.5834
angles: 131.70 131.70 70.70
Closest atoms and distances in Å follow each position.
Fractional positions:
Mn: 0.0000 0.0000 0.0000  4 Te 2.70
Cu: 0.2500 0.7500 0.5000  4 Te 2.60
Cu: 0.7500 0.2500 0.5000  4 Te 2.60
Sn: 0.5000 0.5000 0.0000  4 Te 2.86
Te: 0.8995 0.3763 0.0000  2 Cu 2.60, 1 Mn 2.70, 1 Sn 2.86
Te: 0.3763 0.8995 0.0000  2 Cu 2.60, 1 Mn 2.70, 1 Sn 2.86
Te: 0.6237 0.6237 0.5232  2 Cu 2.60, 1 Mn 2.70, 1 Sn 2.86
Te: 0.1005 0.1005 0.4768  2 Cu 2.60, 1 Mn 2.70, 1 Sn 2.86

---

[5]
This record from Alexandria describes UMnCuSn after structural relaxation. The functional is GGA-PBE.

Calculated values
- Calculated total energy: -27.99 eV per cell
- Total moment: 0.5 μB/cell
- Symmetry: F-43m

abc: 4.6889 4.6889 4.6889
angles: 60.00 60.00 60.00
Closest atoms and distances in Å follow each position.
Fractional positions:
Mn: 0.0000 0.0000 0.0000  4 Sn 2.87, 4 U 2.87
U: 0.7500 0.7500 0.7500  4 Mn 2.87, 4 Cu 2.87
Sn: 0.2500 0.2500 0.2500  4 Mn 2.87, 4 Cu 2.87
Cu: 0.5000 0.5000 0.5000  4 Sn 2.87, 4 U 2.87

---

[6]
This record from Alexandria describes SrMn2Cu after structural relaxation. The functional is GGA-PBE.

Calculated values
- Calculated total energy: -21.35 eV per cell
- Total moment: 7.5 μB/cell
- Symmetry: Pmmm
- Distance to the lowest polymorph of the same formula: 472.8 meV/atom

abc: 4.0288 4.2320 4.7178
angles: 90.00 90.00 90.00
Closest atoms and distances in Å follow each position.
Fractional positions:
Cu: 0.0000 0.5000 0.5000  4 Sr 2.92, 8 Mn 3.10-3.17
Mn: 0.0000 0.0000 0.0000  4 Mn 2.92, 4 Sr 3.10, 4 Cu 3.17
Mn: 0.5000 0.5000 0.0000  4 Mn 2.92, 4 Cu 3.10, 4 Sr 3.17
Sr: 0.5000 0.0000 0.5000  4 Cu 2.92, 8 Mn 3.10-3.17

---

[7]
This record from Alexandria describes Sr2MnCu after structural relaxation. The functional is GGA-PBE.

Calculated values
- Calculated total energy: -15.41 eV per cell
- Total moment: 4.5 μB/cell
- Symmetry: P4mm
- Distance to the lowest polymorph of the same formula: 75.8 meV/atom

abc: 3.6326 3.6326 8.8395
angles: 90.00 90.00 90.06
Closest atoms and distances in Å follow each position.
Fractional positions:
Cu: 0.0000 0.0000 0.5750  4 Mn 2.70-2.71
Mn: 0.5000 0.5000 0.6707  4 Cu 2.70-2.71
Sr: 0.0000 0.0000 0.9312  1 Cu 3.15, 4 Mn 3.45
Sr: 0.5000 0.5000 0.3231  1 Mn 3.07, 4 Cu 3.40

---

[8]
This record from Alexandria describes SrMn2Cu after structural relaxation. The functional is GGA-PBE.

Calculated values
- Calculated total energy: -22.22 eV per cell
- Total moment: 7.8 μB/cell
- Symmetry: Pmm2
- Distance to the lowest polymorph of the same formula: 255.6 meV/atom

abc: 3.3559 3.4135 7.8489
angles: 64.22 90.00 90.00
Closest atoms and distances in Å follow each position.
Fractional positions:
Cu: 0.5000 0.6784 0.8222  5 Mn 2.54-2.65
Mn: 0.0000 0.0183 0.9817  4 Cu 2.64-2.65, 4 Mn 2.78
Mn: 0.5000 0.3186 0.1814  1 Cu 2.54, 4 Mn 2.78
Sr: 0.0000 0.4848 0.5148  4 Cu 3.23, 5 Mn 3.30-3.36, 4 Sr 3.36-3.41